# 1
{
  "formula": "TbPmPu2Bi4",
  "functional": "PBE",
  "state": "relaxed",
  "crystal_system": "monoclinic",
  "m_tot_mub_per_cell": 10.2,
  "dft_energy_ry_per_atom": -0.537,
  "density_g_cm3": 10.22,
  "space_group": "P2/m (10)",
  "formation_energy_mev_per_atom": -614,
  "cell": [[-4.225, 1.423, 0.836], [-2.734, -7.210, -1.542], [-0.114, -4.229, 6.626]],
  "species": ["Tb", "Pm", "Pu", "Pu", "Bi", "Bi", "Bi", "Bi"],
  "fractional_positions": [[0.500, 0.500, 0.000], [0.000, 0.500, 0.500], [0.000, 0.000, 0.000], [0.500, 0.000, 0.500], [0.000, 0.751, 0.752], [0.000, 0.249, 0.248], [0.500, 0.753, 0.246], [0.500, 0.247, 0.754]]
}

# 2
{
  "formula": "CoCl",
  "functional": "PBE",
  "state": "relaxed",
  "crystal_system": "cubic",
  "m_tot_mub_per_cell": 2.0,
  "raw_formation_energy_mev_per_atom": 498.8,
  "dft_energy_ry_per_atom": -0.292,
  "density_g_cm3": 5.43,
  "space_group": "Pm-3m (221)",
  "cell": [[-0.746, -2.959, 0.310], [2.904, -0.654, 0.739], [-0.647, 0.474, 2.960]],
  "species": ["Co", "Cl"],
  "fractional_positions": [[0.500, 0.500, 0.500], [0.000, 0.000, 0.000]]
}

# 3
{
  "formula": "Nb5Tc6W",
  "functional": "PBE",
  "state": "relaxed",
  "crystal_system": "orthorhombic",
  "m_tot_mub_per_cell": 0.0,
  "dft_energy_ry_per_atom": -0.789,
  "density_g_cm3": 10.62,
  "space_group": "Immm (71)",
  "formation_energy_mev_per_atom": -283,
  "cell": [[-2.178, -2.941, -2.617], [3.598, -4.722, 2.312], [-5.220, 2.800, 5.064]],
  "species": ["Nb", "Nb", "Nb", "Nb", "Nb", "Tc", "Tc", "Tc", "Tc", "Tc", "Tc", "W"],
  "fractional_positions": [[0.665, 0.165, 0.330], [0.333, 0.333, 0.665], [0.000, 0.500, 0.000], [0.667, 0.667, 0.335], [0.335, 0.835, 0.670], [0.835, 0.586, 0.669], [0.835, 0.083, 0.669], [0.500, 0.752, 0.000], [0.500, 0.248, 0.000], [0.165, 0.917, 0.331], [0.165, 0.414, 0.331], [0.000, 0.000, 0.000]]
}

# 4
{
  "formula": "CeYEr4",
  "functional": "PBE",
  "state": "relaxed",
  "crystal_system": "monoclinic",
  "m_tot_mub_per_cell": 1.7,
  "dft_energy_ry_per_atom": -0.374,
  "density_g_cm3": 8.07,
  "space_group": "C2/m (12)",
  "formation_energy_mev_per_atom": 24,
  "cell": [[-1.794, 3.041, -0.299], [-3.840, -1.830, 4.436], [11.367, 7.707, 10.179]],
  "species": ["Ce", "Ce", "Y", "Y", "Er", "Er", "Er", "Er", "Er", "Er", "Er", "Er"],
  "fractional_positions": [[0.500, 0.000, 0.500], [0.000, 0.000, 0.000], [0.000, 0.500, 0.500], [0.500, 0.500, 0.000], [0.501, 0.614, 0.332], [0.001, 0.386, 0.168], [0.499, 0.386, 0.668], [0.999, 0.614, 0.832], [0.001, 0.109, 0.334], [0.501, 0.891, 0.166], [0.999, 0.891, 0.666], [0.499, 0.109, 0.834]]
}